Here is a relaxed structure of BaNa3Cu from Alexandria. Energies are from PBE.

Volume ... 360.3 Å³/cell
ΔE_f ... 1.085 eV per atom
Distance to the lowest polymorph of the same formula ... 872 meV per atom
VASP energy ... -4.55 eV/cell
SG ... Pm-3m, No. 221
Density of states at the Fermi level ... 4.9 states/eV/cell

Geometry as POSCAR:
```
BaNa3Cu
1.0
-4.198 5.739 -0.263
-5.731 -4.206 -0.317
-0.411 0.025 7.104
Na Ba Cu
3 1 1
direct
0.000 0.500 0.000 Na
0.000 0.000 0.500 Na
0.500 0.000 0.000 Na
0.000 0.000 0.000 Ba
0.500 0.500 0.500 Cu
```